Version i
An optimized crystal structure of DyY3Ho2, computed with PBE.

Lattice parameters (Å, degrees): 17.4064 7.1015 6.1438 90.00 90.03 90.00
Space group C2/c (No. 15)
Unique sites:
Dy: 0.0000 0.1250 0.2500 x4
Y: 0.0000 0.3751 0.7500 x4
Y: 0.1668 0.1251 0.9169 x8
Ho: 0.1667 0.3750 0.4170 x8

Summary:
- V: 31.644 Å³/atom
- Total moment: 0.000 μB per formula unit
- N(E_F): 35.56 states/eV per cell

***

Version ii
An optimized crystal structure of DyY3Ho2, computed with PBE.

Lattice parameters (Å, degrees): 17.7085 3.4981 14.1541 90.00 117.52 90.00
Space group C2/m (No. 12)
Unique sites:
Dy: 0.0619 0.0000 0.1436 x4
Y: 0.0387 0.5000 0.7146 x4
Y: 0.0997 0.0000 0.5254 x4
Y: 0.2406 0.0000 0.7940 x4
Ho: 0.1577 0.0000 0.9686 x4
Ho: 0.1814 0.5000 0.3833 x4

Summary:
- V: 32.399 Å³/atom
- Total moment: 0.001 μB per formula unit
- N(E_F): 41.49 states/eV per cell

***

Stability ranking, top entry: version i; the second entry is 9.2 kJ/mol of atoms less favorable.

***

Version i
An optimized crystal structure of Dy2HoZn, computed with PBE.

Lattice parameters (Å, degrees): 3.5477 3.5477 30.9141 90.00 90.00 120.00
Space group R-3m (No. 166, hexagonal axes)
Unique sites:
Dy: 0.0000 0.0000 0.2397 x6
Ho: 0.0000 0.0000 0.0000 x3
Zn: 0.0000 0.0000 0.5000 x3

Summary:
- V: 28.080 Å³/atom
- Total moment: 0.000 μB per formula unit
- N(E_F): 10.52 states/eV per cell

***

Version ii
An optimized crystal structure of Dy2HoZn, computed with PBE.

Lattice parameters (Å, degrees): 7.5148 7.5148 7.5148 90.00 90.00 90.00
Space group Fm-3m (No. 225)
Unique sites:
Dy: 0.2500 0.2500 0.2500 x8
Ho: 0.0000 0.0000 0.0000 x4
Zn: 0.0000 0.0000 0.5000 x4

Summary:
- V: 26.523 Å³/atom
- Total moment: 0.000 μB per formula unit
- N(E_F): 18.72 states/eV per cell

***

Stability ranking, top entry: version i; the second entry is 10.3 kJ/mol of atoms less favorable.

***

Version i
An optimized crystal structure of Dy2HoZn, computed with PBE.

Lattice parameters (Å, degrees): 5.3069 5.3069 3.8011 90.00 90.00 90.00
Space group P4/mmm (No. 123)
Unique sites:
Dy: 0.0000 0.5000 0.0000 x2
Ho: 0.0000 0.0000 0.5000 x1
Zn: 0.5000 0.5000 0.5000 x1

Summary:
- V: 26.763 Å³/atom
- Total moment: 0.000 μB per formula unit
- N(E_F): 4.43 states/eV per cell

***

Version ii
An optimized crystal structure of Dy2HoZn, computed with PBE.

Lattice parameters (Å, degrees): 3.5891 3.5891 30.5470 90.00 90.00 120.00
Space group R3m (No. 160, hexagonal axes)
Unique sites:
Dy: 0.0000 0.0000 0.0000 x3
Dy: 0.0000 0.0000 0.1880 x3
Ho: 0.0000 0.0000 0.4275 x3
Zn: 0.0000 0.0000 0.5936 x3

Summary:
- V: 28.398 Å³/atom
- Total moment: 0.426 μB per formula unit
- N(E_F): 16.54 states/eV per cell

***

Version iii
An optimized crystal structure of Dy2HoZn, computed with PBE.

Lattice parameters (Å, degrees): 3.5564 3.5564 8.5630 90.00 90.00 90.00
Space group P4/mmm (No. 123)
Unique sites:
Dy: 0.0000 0.0000 0.2083 x2
Ho: 0.5000 0.5000 0.5000 x1
Zn: 0.5000 0.5000 0.0000 x1

Summary:
- V: 27.075 Å³/atom
- Total moment: 0.000 μB per formula unit
- N(E_F): 4.07 states/eV per cell

***

Stability ranking, top entry: version iii; the second entry is 10.1 kJ/mol of atoms less favorable.

***

Version i
An optimized crystal structure of Dy4HoZn, computed with PBE.

Lattice parameters (Å, degrees): 3.5441 3.5441 13.6397 90.00 90.00 90.00
Space group P4/mmm (No. 123)
Unique sites:
Dy: 0.0000 0.0000 0.1307 x2
Dy: 0.5000 0.5000 0.3174 x2
Ho: 0.0000 0.0000 0.5000 x1
Zn: 0.5000 0.5000 0.0000 x1

Summary:
- V: 28.554 Å³/atom
- Total moment: 0.001 μB per formula unit
- N(E_F): 7.61 states/eV per cell

***

Version ii
An optimized crystal structure of Dy4HoZn, computed with PBE.

Lattice parameters (Å, degrees): 8.7615 13.4903 6.2067 90.00 108.64 90.00
Space group C2/c (No. 15)
Unique sites:
Dy: 0.1031 0.1829 0.0482 x8
Dy: 0.2231 0.3863 0.3758 x8
Ho: 0.0000 0.4053 0.7500 x4
Zn: 0.0000 0.0000 0.2500 x4

Summary:
- V: 28.964 Å³/atom
- Total moment: 0.000 μB per formula unit
- N(E_F): 32.66 states/eV per cell

***

Stability ranking, top entry: version i; the second entry is 10.0 kJ/mol of atoms less favorable.

***

Version i
An optimized crystal structure of DyHoZn, computed with PBE.

Lattice parameters (Å, degrees): 3.5654 3.5654 12.1189 90.00 90.00 90.00
Space group I4mm (No. 107)
Unique sites:
Dy: 0.0000 0.0000 0.0000 x2
Ho: 0.0000 0.0000 0.2886 x2
Zn: 0.0000 0.0000 0.6456 x2

Summary:
- V: 25.676 Å³/atom
- Total moment: 0.003 μB per formula unit
- N(E_F): 8.05 states/eV per cell

***

Version ii
An optimized crystal structure of DyHoZn, computed with PBE.

Lattice parameters (Å, degrees): 9.8253 4.9143 7.0172 90.00 90.00 90.00
Space group Pnma (No. 62)
Unique sites:
Dy: 0.1263 0.2500 0.0007 x4
Ho: 0.1238 0.2500 0.5008 x4
Zn: 0.1250 0.7500 0.7504 x4

Summary:
- V: 28.235 Å³/atom
- Total moment: 0.000 μB per formula unit
- N(E_F): 15.50 states/eV per cell

***

Stability ranking, top entry: version i; the second entry is 22.5 kJ/mol of atoms less favorable.

***

Version i
An optimized crystal structure of DyHoZn, computed with PBE.

Lattice parameters (Å, degrees): 4.9335 4.9335 6.9675 90.00 90.00 90.00
Space group I-4m2 (No. 119)
Unique sites:
Dy: 0.0000 0.0000 0.0000 x2
Ho: 0.0000 0.0000 0.5000 x2
Zn: 0.0000 0.5000 0.2500 x2

Summary:
- V: 28.265 Å³/atom
- Total moment: 0.000 μB per formula unit
- N(E_F): 8.29 states/eV per cell

***

Version ii
An optimized crystal structure of DyHoZn, computed with PBE.

Lattice parameters (Å, degrees): 4.9790 4.9790 3.6192 90.00 90.00 120.00
Space group P3m1 (No. 156)
Unique sites:
Dy: 0.0000 0.0000 0.0000 x1
Ho: 0.3333 0.6667 0.5377 x1
Zn: 0.6667 0.3333 0.2813 x1

Summary:
- V: 25.901 Å³/atom
- Total moment: 0.000 μB per formula unit
- N(E_F): 3.08 states/eV per cell

***

Stability ranking, top entry: version ii; the second entry is 7.3 kJ/mol of atoms less favorable.

***

Version i
An optimized crystal structure of Dy3HoZn2, computed with PBE.

Lattice parameters (Å, degrees): 3.5635 3.5635 12.1114 90.00 90.00 90.00
Space group P4/mmm (No. 123)
Unique sites:
Dy: 0.0000 0.0000 0.0000 x1
Dy: 0.0000 0.0000 0.2918 x2
Ho: 0.5000 0.5000 0.5000 x1
Zn: 0.5000 0.5000 0.1454 x2

Summary:
- V: 25.633 Å³/atom
- Total moment: 0.000 μB per formula unit
- N(E_F): 6.14 states/eV per cell

***

Version ii
An optimized crystal structure of Dy3HoZn2, computed with PBE.

Lattice parameters (Å, degrees): 5.0179 9.0586 6.7409 90.00 90.00 90.00
Space group Pmc2_1 (No. 26)
Unique sites:
Dy: 0.0000 0.0560 0.0000 x2
Dy: 0.0000 0.3269 0.3465 x2
Dy: 0.5000 0.1746 0.6830 x2
Ho: 0.5000 0.4441 0.0303 x2
Zn: 0.0000 0.3500 0.7886 x2
Zn: 0.5000 0.1504 0.2415 x2

Summary:
- V: 25.534 Å³/atom
- Total moment: 0.000 μB per formula unit
- N(E_F): 6.73 states/eV per cell

***

Stability ranking, top entry: version ii; the second entry is 0.8 kJ/mol of atoms less favorable.

***

Version i
An optimized crystal structure of Dy2Ho2Zn, computed with PBE.

Lattice parameters (Å, degrees): 4.9354 4.9354 24.2412 90.00 90.00 90.00
Space group I4_1/amd (No. 141, origin choice 2)
Unique sites:
Dy: 0.0000 0.2500 0.0562 x8
Ho: 0.0000 0.2500 0.1994 x8
Zn: 0.0000 0.2500 0.3750 x4

Summary:
- V: 29.523 Å³/atom
- Total moment: 0.001 μB per formula unit
- N(E_F): 32.46 states/eV per cell

***

Version ii
An optimized crystal structure of Dy2Ho2Zn, computed with PBE.

Lattice parameters (Å, degrees): 3.5368 3.5368 22.2224 90.00 90.00 90.00
Space group I4/mmm (No. 139)
Unique sites:
Dy: 0.0000 0.0000 0.1944 x4
Ho: 0.0000 0.0000 0.4204 x4
Zn: 0.0000 0.0000 0.0000 x2

Summary:
- V: 27.798 Å³/atom
- Total moment: 0.000 μB per formula unit
- N(E_F): 12.02 states/eV per cell

***

Stability ranking, top entry: version ii; the second entry is 13.0 kJ/mol of atoms less favorable.

***

Version i
An optimized crystal structure of DyHo3Zn, computed with PBE.

Lattice parameters (Å, degrees): 11.3980 8.3857 7.6640 90.00 124.47 90.00
Space group C2/m (No. 12)
Unique sites:
Dy: 0.0814 0.0000 0.2714 x4
Ho: 0.0478 0.5000 0.3096 x4
Ho: 0.1883 0.2019 0.7131 x8
Zn: 0.2324 0.0000 0.0638 x4

Summary:
- V: 30.195 Å³/atom
- Total moment: 0.000 μB per formula unit
- N(E_F): 30.10 states/eV per cell

***

Version ii
An optimized crystal structure of DyHo3Zn, computed with PBE.

Lattice parameters (Å, degrees): 28.8163 3.6075 5.3499 90.00 90.40 90.00
Space group C2/m (No. 12)
Unique sites:
Dy: 0.2318 0.0000 0.2491 x4
Ho: 0.0453 0.5000 0.7372 x4
Ho: 0.1234 0.5000 0.2441 x4
Ho: 0.1581 0.0000 0.7465 x4
Zn: 0.0395 0.0000 0.2261 x4

Summary:
- V: 27.807 Å³/atom
- Total moment: 0.000 μB per formula unit
- N(E_F): 22.06 states/eV per cell

***

Stability ranking, top entry: version ii; the second entry is 17.5 kJ/mol of atoms less favorable.

***

Version i
An optimized crystal structure of DyHo2Zr, computed with PBE.

Lattice parameters (Å, degrees): 3.4533 3.4533 33.4032 90.00 90.00 120.00
Space group R3m (No. 160, hexagonal axes)
Unique sites:
Dy: 0.0000 0.0000 0.0000 x3
Ho: 0.0000 0.0000 0.2457 x3
Ho: 0.0000 0.0000 0.4215 x3
Zr: 0.0000 0.0000 0.8337 x3

Summary:
- V: 28.748 Å³/atom
- Total moment: 0.000 μB per formula unit
- N(E_F): 19.40 states/eV per cell

***

Version ii
An optimized crystal structure of DyHo2Zr, computed with PBE.

Lattice parameters (Å, degrees): 3.4294 3.4294 33.7589 90.00 90.00 120.00
Space group R-3m (No. 166, hexagonal axes)
Unique sites:
Dy: 0.0000 0.0000 0.0000 x3
Ho: 0.0000 0.0000 0.2452 x6
Zr: 0.0000 0.0000 0.5000 x3

Summary:
- V: 28.653 Å³/atom
- Total moment: 0.000 μB per formula unit
- N(E_F): 15.76 states/eV per cell

***

Version iii
An optimized crystal structure of DyHo2Zr, computed with PBE.

Lattice parameters (Å, degrees): 7.7565 7.7565 7.7565 90.00 90.00 90.00
Space group Fm-3m (No. 225)
Unique sites:
Dy: 0.0000 0.0000 0.0000 x4
Ho: 0.2500 0.2500 0.2500 x8
Zr: 0.0000 0.0000 0.5000 x4

Summary:
- V: 29.166 Å³/atom
- Total moment: 2.787 μB per formula unit
- N(E_F): 25.15 states/eV per cell

***

Stability ranking, top entry: version i; the second entry is 0.7 kJ/mol of atoms less favorable.

***

Version i
An optimized crystal structure of DyHoZr2, computed with PBE.

Lattice parameters (Å, degrees): 4.6902 4.6902 4.8138 90.00 90.00 90.00
Space group P4/mmm (No. 123)
Unique sites:
Dy: 0.0000 0.0000 0.0000 x1
Ho: 0.5000 0.5000 0.0000 x1
Zr: 0.0000 0.5000 0.5000 x2

Summary:
- V: 26.473 Å³/atom
- Total moment: 0.000 μB per formula unit
- N(E_F): 5.26 states/eV per cell

***

Version ii
An optimized crystal structure of DyHoZr2, computed with PBE.

Lattice parameters (Å, degrees): 22.3053 3.3680 5.9256 90.00 105.14 90.00
Space group C2/m (No. 12)
Unique sites:
Dy: 0.0000 0.0000 0.0000 x2
Dy: 0.0000 0.5000 0.5000 x2
Ho: 0.1319 0.0000 0.4614 x4
Zr: 0.1315 0.5000 0.9548 x4
Zr: 0.2469 0.0000 0.2259 x4

Summary:
- V: 26.857 Å³/atom
- Total moment: 0.000 μB per formula unit
- N(E_F): 19.89 states/eV per cell

***

Stability ranking, top entry: version ii; the second entry is 3.7 kJ/mol of atoms less favorable.

***

Version i
An optimized crystal structure of DyHoZr2, computed with PBE.

Lattice parameters (Å, degrees): 3.3348 3.3348 32.8901 90.00 90.00 120.00
Space group R-3m (No. 166, hexagonal axes)
Unique sites:
Dy: 0.0000 0.0000 0.0000 x3
Ho: 0.0000 0.0000 0.5000 x3
Zr: 0.0000 0.0000 0.2499 x6

Summary:
- V: 26.397 Å³/atom
- Total moment: 0.000 μB per formula unit
- N(E_F): 17.20 states/eV per cell

***

Version ii
An optimized crystal structure of DyHoZr2, computed with PBE.

Lattice parameters (Å, degrees): 3.9354 3.9354 6.8232 90.00 90.00 90.00
Space group P4/mmm (No. 123)
Unique sites:
Dy: 0.0000 0.0000 0.0000 x1
Ho: 0.0000 0.0000 0.5000 x1
Zr: 0.5000 0.5000 0.2684 x2

Summary:
- V: 26.419 Å³/atom
- Total moment: 0.000 μB per formula unit
- N(E_F): 5.75 states/eV per cell

***

Version iii
An optimized crystal structure of DyHoZr2, computed with PBE.

Lattice parameters (Å, degrees): 3.3660 3.3660 32.4586 90.00 90.00 120.00
Space group R3m (No. 160, hexagonal axes)
Unique sites:
Dy: 0.0000 0.0000 0.0000 x3
Ho: 0.0000 0.0000 0.1669 x3
Zr: 0.0000 0.0000 0.4173 x3
Zr: 0.0000 0.0000 0.5833 x3

Summary:
- V: 26.539 Å³/atom
- Total moment: 0.000 μB per formula unit
- N(E_F): 15.77 states/eV per cell

***

Stability ranking, top entry: version iii; the second entry is 1.3 kJ/mol of atoms less favorable.